1.
Computed, not measured: an optimized crystal structure of MnGa4Ni7 at the GGA-PBE level of DFT.

POSCAR file:
```
MnGa4Ni7
1.0
4.8217 -2.1962 0.0000
4.8217 2.1962 0.0000
-4.4869 0.0000 7.5150
Mn Ga Ni
1 4 7
Direct
0.0000 0.0000 0.0000
0.2622 0.2622 0.6755
0.4102 0.4102 0.2243
0.5898 0.5898 0.7757
0.7378 0.7378 0.3245
0.0623 0.0623 0.3445
0.2140 0.2140 0.9131
0.3590 0.3590 0.4694
0.5000 0.5000 0.0000
0.6410 0.6410 0.5306
0.7860 0.7860 0.0869
0.9377 0.9377 0.6555
```

Properties
theoretical density = 7.769 g/cm³
SG = C2/m
total DFT energy (no corrections) = -62.49 eV per cell
magnetic moment = 4.49 μB per formula unit
ΔE_f = -0.062 eV/atom



2.
Computed, not measured: an optimized crystal structure of Tl2CuIO4 at the GGA-PBE level of DFT.

POSCAR file:
```
Tl2CuIO4
1.0
5.0734 0.0000 0.0000
-0.5350 6.2149 0.0000
-2.1299 -2.9617 5.2010
Tl Cu I O
2 1 1 4
Direct
0.0000 0.0000 0.0000
0.2798 0.6909 0.4061
0.5545 0.3163 0.0098
0.8295 0.3040 0.5978
0.1054 0.3605 0.9297
0.5172 0.2896 0.2787
0.5354 0.3409 0.7209
0.7689 0.9655 0.4393
```

Properties
theoretical density = 6.716 g/cm³
SG = P1
total DFT energy (no corrections) = -33.89 eV per cell
magnetic moment = 0.00 μB per formula unit
formation energy (no corrections) = -44 kJ/mol of atoms



3.
Computed, not measured: an optimized crystal structure of Rb2Np2CrS6 at the GGA-PBE level of DFT.

POSCAR file:
```
Rb2Np2CrS6
1.0
3.3819 -5.7938 0.0000
3.3819 5.7938 0.0000
-2.2581 0.0000 7.8444
Rb Np Cr S
2 2 1 6
Direct
0.1685 0.8315 0.0000
0.8315 0.1685 0.0000
0.3334 0.6666 0.5000
0.6666 0.3334 0.5000
0.0000 0.0000 0.5000
0.0614 0.3760 0.6804
0.2491 0.2491 0.3215
0.3760 0.0614 0.6804
0.6240 0.9386 0.3196
0.7509 0.7509 0.6785
0.9386 0.6240 0.3196
```

Properties
theoretical density = 4.804 g/cm³
SG = C2/m
total DFT energy (no corrections) = -75.41 eV per cell
magnetic moment = 10.00 μB per formula unit
formation energy (no corrections) = -116 kJ/mol of atoms